No. 1
Crystalline Cs8Rb6Br at its relaxed geometry. Source: Alexandria, functional GGA-PBE.

Output
For the total energy, the calculation gives -17.7 eV/cell. For the formation energy from raw total energies, the calculation gives -0.2236 eV per atom.

The structure in CIF format:
```
data_Cs8Rb6Br
_chemical_formula_sum 'Cs8 Rb6 Br1'
_space_group_name_H-M_alt 'P -3'
_space_group_IT_number 147
_space_group_name_Hall '-P 3'
_cell_length_a 13.8741
_cell_length_b 13.8741
_cell_length_c 8.5986
_cell_angle_alpha 90.00
_cell_angle_beta 90.00
_cell_angle_gamma 120.00
loop_
_atom_site_label
_atom_site_fract_x
_atom_site_fract_y
_atom_site_fract_z
Cs1 0.0442 0.2376 0.2422
Cs2 0.3333 0.6667 0.2494
Rb1 0.0982 0.4862 0.7485
Br1 0.0000 0.0000 0.0000
```

No. 2
Crystalline Sm8Ga2Bi at its relaxed geometry. Source: Alexandria, functional GGA-PBE.

Output
For the total energy, the calculation gives -102.7 eV/cell.

The structure in CIF format:
```
data_Sm8Ga2Bi
_chemical_formula_sum 'Sm16 Ga4 Bi2'
_space_group_name_H-M_alt 'C 1 2/m 1'
_space_group_IT_number 12
_space_group_name_Hall '-C 2y'
_cell_length_a 17.351
_cell_length_b 4.932
_cell_length_c 8.049
_cell_angle_alpha 90.00
_cell_angle_beta 110.45
_cell_angle_gamma 90.00
loop_
_atom_site_label
_atom_site_fract_x
_atom_site_fract_y
_atom_site_fract_z
Sm1 0.048 0.000 0.234
Sm2 0.102 0.500 0.959
Sm3 0.170 0.000 0.754
Sm4 0.177 0.500 0.436
Ga1 0.215 0.000 0.172
Bi1 0.000 0.500 0.500
```

| no. | magnetic moment (Bohr magnetons per cell) |
| --- | --- |
| 1 | 0.00 |
| 2 | 0.00 |